[1]
The following is a PBE-GGA calculation of a geometry-optimized NbCuMoPb structure, from OQMD.

Summary:
* total magnetization: 0.02 Bohr magnetons per cell
* crystal system: cubic
* volume: 17.65 Å³ per atom
* SG: No. 216
* distance to the lowest polymorph of the same formula: 0 meV/atom
* calculated density: 10.808 g/cm3

Geometry as CIF:
```
data_NbCuMoPb
_cell_length_a 6.561
_cell_length_b 6.561
_cell_length_c 6.561
_cell_angle_alpha 90.00
_cell_angle_beta 90.00
_cell_angle_gamma 90.00
_space_group_name_H-M_alt 'P 1'
_space_group_IT_number 1
loop_
_space_group_symop_operation_xyz
'x,y,z'
loop_
_atom_site_label
_atom_site_fract_x
_atom_site_fract_y
_atom_site_fract_z
Nb1 0.000 0.000 0.000
Nb2 0.000 0.500 0.500
Nb3 0.500 0.000 0.500
Nb4 0.500 0.500 0.000
Cu1 0.250 0.250 0.750
Cu2 0.250 0.750 0.250
Cu3 0.750 0.250 0.250
Cu4 0.750 0.750 0.750
Mo1 0.250 0.250 0.250
Mo2 0.250 0.750 0.750
Mo3 0.750 0.250 0.750
Mo4 0.750 0.750 0.250
Pb1 0.000 0.000 0.500
Pb2 0.000 0.500 0.000
Pb3 0.500 0.000 0.000
Pb4 0.500 0.500 0.500
```

***

[2]
The following is a PBE-GGA calculation of a geometry-optimized NbCuTeMo structure, from OQMD.

Summary:
* total magnetization: 0.02 Bohr magnetons per cell
* crystal system: cubic
* volume: 17.05 Å³ per atom
* SG: No. 216
* distance to the lowest polymorph of the same formula: 45 meV/atom
* calculated density: 9.253 g/cm3

Geometry as CIF:
```
data_NbCuTeMo
_cell_length_a 6.485
_cell_length_b 6.485
_cell_length_c 6.485
_cell_angle_alpha 90.00
_cell_angle_beta 90.00
_cell_angle_gamma 90.00
_space_group_name_H-M_alt 'P 1'
_space_group_IT_number 1
loop_
_space_group_symop_operation_xyz
'x,y,z'
loop_
_atom_site_label
_atom_site_fract_x
_atom_site_fract_y
_atom_site_fract_z
Nb1 0.000 0.000 0.000
Nb2 0.000 0.500 0.500
Nb3 0.500 0.000 0.500
Nb4 0.500 0.500 0.000
Cu1 0.250 0.250 0.750
Cu2 0.250 0.750 0.250
Cu3 0.750 0.250 0.250
Cu4 0.750 0.750 0.750
Te1 0.000 0.000 0.500
Te2 0.000 0.500 0.000
Te3 0.500 0.000 0.000
Te4 0.500 0.500 0.500
Mo1 0.250 0.250 0.250
Mo2 0.250 0.750 0.750
Mo3 0.750 0.250 0.750
Mo4 0.750 0.750 0.250
```

***

[3]
The following is a PBE-GGA calculation of a geometry-optimized NbCuTeMo structure, from OQMD.

Summary:
* total magnetization: 0.01 Bohr magnetons per cell
* crystal system: cubic
* volume: 16.74 Å³ per atom
* SG: No. 216
* distance to the lowest polymorph of the same formula: 0 meV/atom
* calculated density: 9.422 g/cm3

Geometry as CIF:
```
data_NbCuTeMo
_cell_length_a 6.446
_cell_length_b 6.446
_cell_length_c 6.446
_cell_angle_alpha 90.00
_cell_angle_beta 90.00
_cell_angle_gamma 90.00
_space_group_name_H-M_alt 'P 1'
_space_group_IT_number 1
loop_
_space_group_symop_operation_xyz
'x,y,z'
loop_
_atom_site_label
_atom_site_fract_x
_atom_site_fract_y
_atom_site_fract_z
Nb1 0.000 0.000 0.000
Nb2 0.000 0.500 0.500
Nb3 0.500 0.000 0.500
Nb4 0.500 0.500 0.000
Cu1 0.250 0.250 0.750
Cu2 0.250 0.750 0.250
Cu3 0.750 0.250 0.250
Cu4 0.750 0.750 0.750
Te1 0.250 0.250 0.250
Te2 0.250 0.750 0.750
Te3 0.750 0.250 0.750
Te4 0.750 0.750 0.250
Mo1 0.000 0.000 0.500
Mo2 0.000 0.500 0.000
Mo3 0.500 0.000 0.000
Mo4 0.500 0.500 0.500
```

***

[4]
The following is a PBE-GGA calculation of a geometry-optimized NbTlCuMo structure, from OQMD.

Summary:
* total magnetization: 0.00 Bohr magnetons per cell
* crystal system: cubic
* volume: 17.43 Å³ per atom
* SG: No. 216
* distance to the lowest polymorph of the same formula: 0 meV/atom
* calculated density: 10.877 g/cm3

Geometry as CIF:
```
data_NbTlCuMo
_cell_length_a 6.534
_cell_length_b 6.534
_cell_length_c 6.534
_cell_angle_alpha 90.00
_cell_angle_beta 90.00
_cell_angle_gamma 90.00
_space_group_name_H-M_alt 'P 1'
_space_group_IT_number 1
loop_
_space_group_symop_operation_xyz
'x,y,z'
loop_
_atom_site_label
_atom_site_fract_x
_atom_site_fract_y
_atom_site_fract_z
Nb1 0.000 0.000 0.000
Nb2 0.000 0.500 0.500
Nb3 0.500 0.000 0.500
Nb4 0.500 0.500 0.000
Tl1 0.000 0.000 0.500
Tl2 0.000 0.500 0.000
Tl3 0.500 0.000 0.000
Tl4 0.500 0.500 0.500
Cu1 0.250 0.250 0.750
Cu2 0.250 0.750 0.250
Cu3 0.750 0.250 0.250
Cu4 0.750 0.750 0.750
Mo1 0.250 0.250 0.250
Mo2 0.250 0.750 0.750
Mo3 0.750 0.250 0.750
Mo4 0.750 0.750 0.250
```

***

[5]
The following is a PBE-GGA calculation of a geometry-optimized NbCuMoW structure, from OQMD.

Summary:
* total magnetization: 0.00 Bohr magnetons per cell
* ΔH_f (0 K): 0.242 eV per atom
* crystal system: cubic
* volume: 15.71 Å³ per atom
* SG: No. 216
* distance to the lowest polymorph of the same formula: 0 meV/atom
* calculated density: 11.529 g/cm3

Geometry as CIF:
```
data_NbCuMoW
_cell_length_a 6.311
_cell_length_b 6.311
_cell_length_c 6.311
_cell_angle_alpha 90.00
_cell_angle_beta 90.00
_cell_angle_gamma 90.00
_space_group_name_H-M_alt 'P 1'
_space_group_IT_number 1
loop_
_space_group_symop_operation_xyz
'x,y,z'
loop_
_atom_site_label
_atom_site_fract_x
_atom_site_fract_y
_atom_site_fract_z
Nb1 0.000 0.000 0.000
Nb2 0.000 0.500 0.500
Nb3 0.500 0.000 0.500
Nb4 0.500 0.500 0.000
Cu1 0.250 0.250 0.750
Cu2 0.250 0.750 0.250
Cu3 0.750 0.250 0.250
Cu4 0.750 0.750 0.750
Mo1 0.000 0.000 0.500
Mo2 0.000 0.500 0.000
Mo3 0.500 0.000 0.000
Mo4 0.500 0.500 0.500
W1 0.250 0.250 0.250
W2 0.250 0.750 0.750
W3 0.750 0.250 0.750
W4 0.750 0.750 0.250
```

***

[6]
The following is a PBE-GGA calculation of a geometry-optimized NbZnCuMo structure, from OQMD.

Summary:
* total magnetization: 0.03 Bohr magnetons per cell
* ΔH_f (0 K): 0.310 eV per atom
* crystal system: cubic
* volume: 15.41 Å³ per atom
* SG: No. 216
* distance to the lowest polymorph of the same formula: 0 meV/atom
* calculated density: 8.563 g/cm3

Geometry as CIF:
```
data_NbZnCuMo
_cell_length_a 6.270
_cell_length_b 6.270
_cell_length_c 6.270
_cell_angle_alpha 90.00
_cell_angle_beta 90.00
_cell_angle_gamma 90.00
_space_group_name_H-M_alt 'P 1'
_space_group_IT_number 1
loop_
_space_group_symop_operation_xyz
'x,y,z'
loop_
_atom_site_label
_atom_site_fract_x
_atom_site_fract_y
_atom_site_fract_z
Nb1 0.000 0.000 0.000
Nb2 0.000 0.500 0.500
Nb3 0.500 0.000 0.500
Nb4 0.500 0.500 0.000
Zn1 0.000 0.000 0.500
Zn2 0.000 0.500 0.000
Zn3 0.500 0.000 0.000
Zn4 0.500 0.500 0.500
Cu1 0.250 0.250 0.750
Cu2 0.250 0.750 0.250
Cu3 0.750 0.250 0.250
Cu4 0.750 0.750 0.750
Mo1 0.250 0.250 0.250
Mo2 0.250 0.750 0.750
Mo3 0.750 0.250 0.750
Mo4 0.750 0.750 0.250
```

***

[7]
The following is a PBE-GGA calculation of a geometry-optimized NdCuMo structure, from OQMD.

Summary:
* total magnetization: 8.57 Bohr magnetons per cell
* ΔH_f (0 K): 0.808 eV per atom
* crystal system: cubic
* volume: 22.45 Å³ per atom
* SG: No. 216
* distance to the lowest polymorph of the same formula: 0 meV/atom
* calculated density: 7.490 g/cm3

Geometry as CIF:
```
data_NdCuMo
_cell_length_a 6.458
_cell_length_b 6.458
_cell_length_c 6.458
_cell_angle_alpha 90.00
_cell_angle_beta 90.00
_cell_angle_gamma 90.00
_space_group_name_H-M_alt 'P 1'
_space_group_IT_number 1
loop_
_space_group_symop_operation_xyz
'x,y,z'
loop_
_atom_site_label
_atom_site_fract_x
_atom_site_fract_y
_atom_site_fract_z
Nd1 0.000 0.000 0.000
Nd2 0.000 0.500 0.500
Nd3 0.500 0.000 0.500
Nd4 0.500 0.500 0.000
Cu1 0.250 0.250 0.750
Cu2 0.250 0.750 0.250
Cu3 0.750 0.250 0.250
Cu4 0.750 0.750 0.750
Mo1 0.000 0.000 0.500
Mo2 0.000 0.500 0.000
Mo3 0.500 0.000 0.000
Mo4 0.500 0.500 0.500
```

***

| no. | final energy (eV per cell) |
| --- | --- |
| 1 | -105.18 |
| 2 | -105.29 |
| 3 | -106.00 |
| 4 | -99.17 |
| 5 | -146.61 |
| 6 | -98.73 |
| 7 | -67.62 |